DFT (GGA-PBE) results for a relaxed structure of Zr5Nb.

## Properties
**Energy of formation**: 0.066 eV/atom
**Spin magnetization**: 0.000 μB/atom

```
data_Zr5Nb
_symmetry_space_group_name_H-M 'P 1'
_symmetry_Int_Tables_number 1
_symmetry_space_group_name_Hall 'P 1'
_cell_length_a 3.472
_cell_length_b 5.060
_cell_length_c 7.990
_cell_angle_alpha 108.46
_cell_angle_beta 90.00
_cell_angle_gamma 90.00
loop_
_atom_site_label
_atom_site_fract_x
_atom_site_fract_y
_atom_site_fract_z
_atom_site_occupancy
Zr1 0.000 0.325 0.650 1
Zr2 0.500 0.851 0.702 1
Zr3 0.500 0.149 0.298 1
Zr4 0.500 0.500 0.000 1
Zr5 0.000 0.675 0.350 1
Nb1 0.000 0.000 0.000 1
```